[1]
Computed, not measured: a geometry-optimized Pm3Nd8Sm2 structure at the PBE level of DFT.

For the calculated total energy, the calculation gives -4.60 eV/atom. As for the spin magnetization: 0.0 μB per cell. The calculation puts the density of states at the Fermi level at 21.7 states/eV/f.u. The formation energy is 152 meV per atom.

The structure belongs to space group C2/m (No. 12); the cell edges are 13.3326, 11.9439 and 6.2602 Å and the angles 90.00°, 113.50° and 90.00°. Symmetry generates all atoms from Pm at (0.0000, 0.0000, 0.0000), Pm at (0.0000, 0.2446, 0.5000), Nd at (0.0545, 0.5000, 0.2826), Nd at (0.1525, 0.0000, 0.5532), Nd at (0.1720, 0.2560, 0.1725) and Sm at (0.2122, 0.5000, 0.8484).

=====

[2]
Computed, not measured: a geometry-optimized Pm5Nd3Sm2 structure at the PBE level of DFT.

For the calculated total energy, the calculation gives -4.57 eV/atom. As for the spin magnetization: 0.0 μB per cell. The calculation puts the density of states at the Fermi level at 18.0 states/eV/f.u. The formation energy is 179 meV per atom.

The structure belongs to space group C2/c (No. 15); the cell edges are 10.9706, 15.7019 and 9.8131 Å and the angles 90.00°, 123.88° and 90.00°. Symmetry generates all atoms from Pm at (0.0000, 0.0205, 0.2500), Pm at (0.0000, 0.2743, 0.7500), Pm at (0.0000, 0.4729, 0.7500), Pm at (0.2349, 0.3766, 0.2213), Nd at (0.0000, 0.2297, 0.2500), Nd at (0.1434, 0.1261, 0.0505) and Sm at (0.1568, 0.3772, 0.5485).

=====

[3]
Computed, not measured: a geometry-optimized PmNd8Sm5 structure at the PBE level of DFT.

For the calculated total energy, the calculation gives -4.52 eV/atom. As for the spin magnetization: 0.0 μB per cell. The calculation puts the density of states at the Fermi level at 20.6 states/eV/f.u. The formation energy is 230 meV per atom.

The structure belongs to space group I-4 (No. 82); the cell edges are 9.7573, 9.7573 and 10.4158 Å and the angles 90.00°, 90.00° and 90.00°. Symmetry generates all atoms from Pm at (0.0000, 0.0000, 0.0000), Nd at (0.0708, 0.8249, 0.3509), Nd at (0.0829, 0.6818, 0.0044), Sm at (0.0000, 0.5000, 0.2500) and Sm at (0.1075, 0.7077, 0.6769).